# 1
Density functional theory data (GGA-PBE) for a relaxed SrPrBr2 crystal.

a b c (Å): 3.9731 3.9731 31.6024
angles (deg): 90.00 90.00 120.00
Space group R-3m (No. 166, hexagonal axes)
Symmetry-distinct sites (fractional):
Sr: 0.0000 0.0000 0.0000
Pr: 0.0000 0.0000 0.5000
Br: 0.0000 0.0000 0.1002

## Properties
The value obtained for the size of the total moment is 0.01 μB per atom. For the calculated total energy, the calculation gives -43.98 eV for the cell shown.



# 2
Density functional theory data (GGA-PBE) for a relaxed SrPr2Br crystal.

a b c (Å): 3.7306 3.7306 36.0758
angles (deg): 90.00 90.00 120.00
Space group R-3m (No. 166, hexagonal axes)
Symmetry-distinct sites (fractional):
Sr: 0.0000 0.0000 0.0000
Pr: 0.0000 0.0000 0.1001
Br: 0.0000 0.0000 0.5000

## Properties
The value obtained for the size of the total moment is 0.00 μB per atom. For the calculated total energy, the calculation gives -42.93 eV for the cell shown.



# 3
Density functional theory data (GGA-PBE) for a relaxed TbPrBr6 crystal.

a b c (Å): 7.1824 7.1824 19.7195
angles (deg): 90.00 90.00 120.00
Space group R-3 (No. 148, hexagonal axes)
Symmetry-distinct sites (fractional):
Tb: 0.0000 0.0000 0.0000
Pr: 0.0000 0.0000 0.5000
Br: 0.0030 0.3251 0.0818

## Properties
The value obtained for the size of the total moment is 0.00 μB per atom. For the calculated total energy, the calculation gives -102.24 eV for the cell shown. For the polymorph energy (0 for the lowest one), the calculation gives 0.10 eV/f.u.



# 4
Density functional theory data (GGA-PBE) for a relaxed TbPrBr6 crystal.

a b c (Å): 7.1403 13.3043 7.1417
angles (deg): 90.00 106.66 90.00
Space group C2/m (No. 12)
Symmetry-distinct sites (fractional):
Tb: 0.0000 0.0000 0.0000
Pr: 0.0000 0.5000 0.5000
Br: 0.2402 0.1462 0.2425
Br: 0.2480 0.0000 0.7566

## Properties
The value obtained for the size of the total moment is 0.00 μB per atom. For the calculated total energy, the calculation gives -68.37 eV for the cell shown. For the polymorph energy (0 for the lowest one), the calculation gives 0.00 eV/f.u.



# 5
Density functional theory data (GGA-PBE) for a relaxed TbPrBr4 crystal.

a b c (Å): 6.9197 3.9646 7.8879
angles (deg): 90.00 106.49 90.00
Space group P2/m (No. 10)
Symmetry-distinct sites (fractional):
Tb: 0.0000 0.0000 0.0000
Pr: 0.5000 0.5000 0.0000
Br: 0.2319 0.5000 0.2403
Br: 0.2363 0.0000 0.7494

## Properties
The value obtained for the size of the total moment is 0.00 μB per atom. For the calculated total energy, the calculation gives -25.91 eV for the cell shown.



# 6
Density functional theory data (GGA-PBE) for a relaxed TbPrTe2Br crystal.

a b c (Å): 4.4642 4.4642 15.1751
angles (deg): 90.00 90.00 90.00
Space group P4/nmm (No. 129, origin choice 2)
Symmetry-distinct sites (fractional):
Tb: 0.2500 0.2500 0.0849
Pr: 0.2500 0.2500 0.6433
Te: 0.2500 0.2500 0.2915
Te: 0.2500 0.2500 0.8801
Br: 0.2500 0.7500 0.5000

## Properties
The value obtained for the size of the total moment is 0.00 μB per atom. For the calculated total energy, the calculation gives -49.29 eV for the cell shown.



# 7
Density functional theory data (GGA-PBE) for a relaxed TbPrTeBr crystal.

a b c (Å): 7.5395 7.5395 7.5395
angles (deg): 90.00 90.00 90.00
Space group F-43m (No. 216)
Symmetry-distinct sites (fractional):
Tb: 0.0000 0.0000 0.0000
Pr: 0.0000 0.0000 0.5000
Te: 0.2500 0.2500 0.2500
Br: 0.2500 0.2500 0.7500

## Properties
The value obtained for the size of the total moment is 0.00 μB per atom. For the calculated total energy, the calculation gives -75.42 eV for the cell shown.



# 8
Density functional theory data (GGA-PBE) for a relaxed Pr9Tc2Br14 crystal.

a b c (Å): 8.8971 8.8971 12.1405
angles (deg): 90.00 90.00 120.00
Space group P-3 (No. 147)
Symmetry-distinct sites (fractional):
Pr: 0.0000 0.0000 0.0000
Pr: 0.0908 0.3749 0.3395
Pr: 0.3333 0.6667 0.0440
Tc: 0.3333 0.6667 0.2587
Br: 0.0000 0.0000 0.2563
Br: 0.0523 0.6931 0.9082
Br: 0.0863 0.4004 0.5953

## Properties
The value obtained for the size of the total moment is 0.07 μB per atom. For the calculated total energy, the calculation gives -118.02 eV for the cell shown.



# 9
Density functional theory data (GGA-PBE) for a relaxed PrTcBr crystal.

a b c (Å): 4.1436 4.1436 36.3532
angles (deg): 90.00 90.00 120.00
Space group R-3m (No. 166, hexagonal axes)
Symmetry-distinct sites (fractional):
Pr: 0.0000 0.0000 0.0624
Tc: 0.0000 0.0000 0.3389
Br: 0.0000 0.0000 0.2175

## Properties
The value obtained for the size of the total moment is 0.00 μB per atom. For the calculated total energy, the calculation gives -116.77 eV for the cell shown.



# 10
Density functional theory data (GGA-PBE) for a relaxed Pr5Tc2Br2 crystal.

a b c (Å): 16.1352 8.4610 7.6971
angles (deg): 90.00 90.00 90.00
Space group Cmce (No. 64)
Symmetry-distinct sites (fractional):
Pr: 0.0000 0.0000 0.0000
Pr: 0.1205 0.1840 0.3393
Tc: 0.0000 0.1077 0.6078
Br: 0.2018 0.0000 0.0000

## Properties
The value obtained for the size of the total moment is 0.00 μB per atom. For the calculated total energy, the calculation gives -207.77 eV for the cell shown.



# 11
Density functional theory data (GGA-PBE) for a relaxed PrTeBr crystal.

a b c (Å): 7.4934 7.4934 7.4934
angles (deg): 90.00 90.00 90.00
Space group F-43m (No. 216)
Symmetry-distinct sites (fractional):
Pr: 0.0000 0.0000 0.0000
Te: 0.2500 0.2500 0.7500
Br: 0.2500 0.2500 0.2500

## Properties
The value obtained for the size of the total moment is 0.00 μB per atom. For the calculated total energy, the calculation gives -56.75 eV for the cell shown. For the polymorph energy (0 for the lowest one), the calculation gives 0.29 eV/f.u.



# 12
Density functional theory data (GGA-PBE) for a relaxed Pr2TeBr2 crystal.

a b c (Å): 7.6195 4.3961 10.8692
angles (deg): 90.00 90.52 90.00
Space group C2/m (No. 12)
Symmetry-distinct sites (fractional):
Pr: 0.1690 0.0000 0.1657
Te: 0.0000 0.5000 0.0000
Br: 0.1622 0.0000 0.6708

## Properties
The value obtained for the size of the total moment is 0.00 μB per atom. For the calculated total energy, the calculation gives -47.95 eV for the cell shown.



# 13
Density functional theory data (GGA-PBE) for a relaxed Pr2TeBr crystal.

a b c (Å): 7.6606 7.6606 7.6606
angles (deg): 90.00 90.00 90.00
Space group Fm-3m (No. 225)
Symmetry-distinct sites (fractional):
Pr: 0.2500 0.2500 0.2500
Te: 0.0000 0.0000 0.0000
Br: 0.0000 0.0000 0.5000

## Properties
The value obtained for the size of the total moment is 0.00 μB per atom. For the calculated total energy, the calculation gives -77.67 eV for the cell shown. For the polymorph energy (0 for the lowest one), the calculation gives 0.00 eV/f.u.



# 14
Density functional theory data (GGA-PBE) for a relaxed Pr6TeBr8 crystal.

a b c (Å): 6.8597 6.8597 36.8992
angles (deg): 90.00 90.00 120.00
Space group R-3 (No. 148, hexagonal axes)
Symmetry-distinct sites (fractional):
Pr: 0.0000 0.3365 0.4404
Te: 0.0000 0.0000 0.5000
Br: 0.0000 0.0000 0.1667
Br: 0.0000 0.3287 0.6131

## Properties
The value obtained for the size of the total moment is 0.00 μB per atom. For the calculated total energy, the calculation gives -201.05 eV for the cell shown.



# 15
Density functional theory data (GGA-PBE) for a relaxed PrTeBr crystal.

a b c (Å): 11.7703 4.2626 8.8292
angles (deg): 90.00 118.85 90.00
Space group C2/m (No. 12)
Symmetry-distinct sites (fractional):
Pr: 0.1625 0.0000 0.2077
Te: 0.0886 0.5000 0.8839
Br: 0.1598 0.0000 0.5639

## Properties
The value obtained for the size of the total moment is 0.00 μB per atom. For the calculated total energy, the calculation gives -57.67 eV for the cell shown. For the polymorph energy (0 for the lowest one), the calculation gives 0.06 eV/f.u.



# 16
Density functional theory data (GGA-PBE) for a relaxed Pr2TeBr crystal.

a b c (Å): 4.1183 4.1183 25.2874
angles (deg): 90.00 90.00 120.00
Space group R3m (No. 160, hexagonal axes)
Symmetry-distinct sites (fractional):
Pr: 0.0000 0.0000 0.0000
Pr: 0.0000 0.0000 0.1710
Te: 0.0000 0.0000 0.5849
Br: 0.0000 0.0000 0.4194

## Properties
The value obtained for the size of the total moment is 0.00 μB per atom. For the calculated total energy, the calculation gives -57.87 eV for the cell shown. For the polymorph energy (0 for the lowest one), the calculation gives 0.13 eV/f.u.



# 17
Density functional theory data (GGA-PBE) for a relaxed Pr2Te2Br crystal.

a b c (Å): 14.2433 6.3541 8.7700
angles (deg): 90.00 111.62 90.00
Space group C2/m (No. 12)
Symmetry-distinct sites (fractional):
Pr: 0.0025 0.0000 0.2433
Pr: 0.1624 0.5000 0.0813
Te: 0.0097 0.5000 0.2719
Te: 0.1801 0.0000 0.1083
Br: 0.1539 0.0000 0.5948

## Properties
The value obtained for the size of the total moment is 0.00 μB per atom. For the calculated total energy, the calculation gives -101.69 eV for the cell shown. For the polymorph energy (0 for the lowest one), the calculation gives 0.00 eV/f.u.



# 18
Density functional theory data (GGA-PBE) for a relaxed Pr3TeBr3 crystal.

a b c (Å): 7.4002 7.4002 32.9211
angles (deg): 90.00 90.00 120.00
Space group R-3 (No. 148, hexagonal axes)
Symmetry-distinct sites (fractional):
Pr: 0.9999 0.3109 0.4459
Te: 0.0000 0.0000 0.1667
Br: 0.9999 0.3476 0.6093

## Properties
The value obtained for the size of the total moment is 0.09 μB per atom. For the calculated total energy, the calculation gives -195.76 eV for the cell shown. For the polymorph energy (0 for the lowest one), the calculation gives 0.00 eV/f.u.



# 19
Density functional theory data (GGA-PBE) for a relaxed Pr4Te5Br2 crystal.

a b c (Å): 18.1305 4.6256 11.1110
angles (deg): 90.00 103.71 90.00
Space group C2/m (No. 12)
Symmetry-distinct sites (fractional):
Pr: 0.0238 0.0000 0.3091
Pr: 0.1941 0.5000 0.1330
Te: 0.0000 0.5000 0.5000
Te: 0.1422 0.0000 0.9143
Te: 0.1968 0.0000 0.3293
Br: 0.0287 0.5000 0.1496

## Properties
The value obtained for the size of the total moment is 0.00 μB per atom. For the calculated total energy, the calculation gives -107.51 eV for the cell shown.



# 20
Density functional theory data (GGA-PBE) for a relaxed Pr2TeBr crystal.

a b c (Å): 4.0762 4.0762 10.2180
angles (deg): 90.00 90.00 120.00
Space group P3m1 (No. 156)
Symmetry-distinct sites (fractional):
Pr: 0.0000 0.0000 0.0000
Pr: 0.3333 0.6667 0.5017
Te: 0.0000 0.0000 0.7017
Br: 0.3333 0.6667 0.2056

## Properties
The value obtained for the size of the total moment is 0.21 μB per atom. For the calculated total energy, the calculation gives -18.16 eV for the cell shown. For the polymorph energy (0 for the lowest one), the calculation gives 1.26 eV/f.u.



# 21
Density functional theory data (GGA-PBE) for a relaxed Pr2TeBr crystal.

a b c (Å): 3.8444 3.8444 7.6135
angles (deg): 90.00 90.00 90.00
Space group P4/mmm (No. 123)
Symmetry-distinct sites (fractional):
Pr: 0.0000 0.0000 0.2430
Te: 0.5000 0.5000 0.0000
Br: 0.5000 0.5000 0.5000

## Properties
The value obtained for the size of the total moment is 0.00 μB per atom. For the calculated total energy, the calculation gives -19.32 eV for the cell shown. For the polymorph energy (0 for the lowest one), the calculation gives 0.10 eV/f.u.



# 22
Density functional theory data (GGA-PBE) for a relaxed PrTeBr crystal.

a b c (Å): 5.0350 5.0350 4.2851
angles (deg): 90.00 90.00 120.00
Space group P3m1 (No. 156)
Symmetry-distinct sites (fractional):
Pr: 0.0000 0.0000 0.0000
Te: 0.6667 0.3333 0.5009
Br: 0.3333 0.6667 0.0013

## Properties
The value obtained for the size of the total moment is 0.00 μB per atom. For the calculated total energy, the calculation gives -13.76 eV for the cell shown. For the polymorph energy (0 for the lowest one), the calculation gives 0.72 eV/f.u.



# 23
Density functional theory data (GGA-PBE) for a relaxed Pr3TeBr3 crystal.

a b c (Å): 12.3040 12.3040 12.3040
angles (deg): 90.00 90.00 90.00
Space group I4_132 (No. 214)
Symmetry-distinct sites (fractional):
Pr: 0.1213 0.3713 0.1250
Te: 0.1250 0.1250 0.1250
Br: 0.1186 0.1314 0.6250

## Properties
The value obtained for the size of the total moment is 0.00 μB per atom. For the calculated total energy, the calculation gives -260.81 eV for the cell shown. For the polymorph energy (0 for the lowest one), the calculation gives 0.02 eV/f.u.